KFePtN after structural relaxation. Source: Alexandria, functional PBE.

Lattice parameters (Å, degrees): 3.5417 3.5417 11.4290 90.00 90.00 90.00
Space group P4/nmm (No. 129, origin choice 2)
Unique sites:
K 0.2500 0.2500 0.2488
Fe 0.2500 0.7500 0.5000
Pt 0.2500 0.7500 0.0000
N 0.2500 0.2500 0.5694



K2FeRhN after structural relaxation. Source: Alexandria, functional PBE.

Lattice parameters (Å, degrees): 6.3211 6.3211 4.4444 90.00 90.00 90.00
Space group P4/mmm (No. 123)
Unique sites:
K 0.0000 0.5000 0.0000
Fe 0.0000 0.0000 0.0000
Rh 0.0000 0.0000 0.5000
N 0.5000 0.5000 0.5000



KFeS2N after structural relaxation. Source: Alexandria, functional PBE.

- ΔE to the lowest computed polymorph (eV per atom) = 0.0000

Lattice parameters (Å, degrees): 4.9775 4.9775 3.4917 90.00 90.00 90.00
Space group P4/mmm (No. 123)
Unique sites:
K 0.0000 0.0000 0.0000
Fe 0.5000 0.5000 0.5000
S 0.0000 0.5000 0.5000
N 0.5000 0.5000 0.0000



KFeS2N after structural relaxation. Source: Alexandria, functional PBE.

- ΔE to the lowest computed polymorph (eV per atom) = 1.9652

Lattice parameters (Å, degrees): 5.4923 5.4923 4.7272 90.00 90.00 90.00
Space group P4/mmm (No. 123)
Unique sites:
K 0.0000 0.0000 0.0000
Fe 0.5000 0.5000 0.5000
S 0.0000 0.5000 0.0000
N 0.0000 0.0000 0.5000



For reference, E_form (uncorrected) by record: -2.70; 150.52; 8.29; 197.90 kJ/mol of atoms.
For reference, volume by record: 17.92; 35.52; 17.30; 28.52 Å³ per atom.